BaVZnF6: relaxed, PBE+U.

Geometry as POSCAR:
```
BaVZnF6
1.0
-4.6687 1.9686 2.3710
-3.0354 -3.5318 -3.0445
1.8862 -1.5487 5.0000
Ba V Zn F
1 1 1 6
Cartesian
0.2457 -2.2098 2.3185 Ba
-3.7292 -1.8865 0.8225 V
-2.3343 0.9843 1.1855 Zn
-4.1684 -2.1520 2.8841 F
-4.2196 0.1805 0.8466 F
-5.6711 -2.4772 0.1951 F
-1.8171 -1.0275 1.1684 F
-3.4594 -1.9696 -1.2832 F
-3.0396 -3.8732 1.1240 F
```

Calculated values
D(E_F) ... 0.00 states/eV/atom
Electronic total energy ... -5.392 eV per atom
Symmetry ... P312 (149)